Record 1
This record from Alexandria describes Tb4Nd11Ho9 after structural relaxation. The functional is PBE.

Lattice parameters (Å, degrees): 3.6714 15.4102 15.4102 113.10 90.00 90.00
Closest atoms and distances in Å follow each position.
Fractional positions:
Nd  0.0000  0.3682  0.6318  4 Tb 3.33, 4 Ho 3.62, 2 Nd 3.67
Nd  0.0000  0.0429  0.4054  2 Tb 3.41, 6 Ho 3.55-3.73, 3 Nd 3.65-3.67
Nd  0.0000  0.6318  0.3682  4 Tb 3.33, 4 Ho 3.62, 2 Nd 3.67
Nd  0.0000  0.7080  0.7080  4 Tb 3.31, 2 Nd 3.67, 4 Ho 3.68
Nd  0.0000  0.9571  0.5946  2 Tb 3.41, 6 Ho 3.55-3.73, 3 Nd 3.65-3.67
Nd  0.0000  0.5946  0.9571  2 Tb 3.41, 6 Ho 3.55-3.73, 3 Nd 3.65-3.67
Nd  0.0000  0.8397  0.1603  4 Nd 3.67-3.85, 8 Ho 3.73-3.76
Nd  0.0000  0.2920  0.2920  4 Tb 3.31, 2 Nd 3.67, 4 Ho 3.68
Nd  0.0000  0.0000  0.0000  8 Ho 3.54, 2 Nd 3.67
Nd  0.0000  0.1603  0.8397  4 Nd 3.67-3.85, 8 Ho 3.73-3.76
Nd  0.0000  0.4054  0.0429  2 Tb 3.41, 6 Ho 3.55-3.73, 3 Nd 3.65-3.67
Ho  0.5000  0.5000  0.5000  2 Ho 3.67, 4 Tb 3.73, 8 Nd 3.85-3.98
Ho  0.5000  0.6311  0.1654  3 Ho 3.46-3.67, 1 Tb 3.50, 8 Nd 3.55-3.73
Ho  0.5000  0.2131  0.0675  1 Tb 3.52, 8 Nd 3.54-3.76, 3 Ho 3.67-3.74
Ho  0.5000  0.8346  0.3689  3 Ho 3.46-3.67, 1 Tb 3.50, 8 Nd 3.55-3.73
Ho  0.5000  0.0675  0.2131  1 Tb 3.52, 8 Nd 3.54-3.76, 3 Ho 3.67-3.74
Ho  0.5000  0.9325  0.7869  1 Tb 3.52, 8 Nd 3.54-3.76, 3 Ho 3.67-3.74
Ho  0.5000  0.7869  0.9325  1 Tb 3.52, 8 Nd 3.54-3.76, 3 Ho 3.67-3.74
Ho  0.5000  0.3689  0.8346  3 Ho 3.46-3.67, 1 Tb 3.50, 8 Nd 3.55-3.73
Ho  0.5000  0.1654  0.6311  3 Ho 3.46-3.67, 1 Tb 3.50, 8 Nd 3.55-3.73
Tb  0.5000  0.7586  0.5554  6 Nd 3.31-3.41, 2 Ho 3.50-3.52, 2 Tb 3.67
Tb  0.5000  0.5554  0.7586  6 Nd 3.31-3.41, 2 Ho 3.50-3.52, 2 Tb 3.67
Tb  0.5000  0.4446  0.2414  6 Nd 3.31-3.41, 2 Ho 3.50-3.52, 2 Tb 3.67
Tb  0.5000  0.2414  0.4446  6 Nd 3.31-3.41, 2 Ho 3.50-3.52, 2 Tb 3.67

## Properties
DOS(E_F): 30.3 states/eV/f.u.
volume: 802 Å³ per cell
E: -110.81 eV per formula unit
spin magnetization: 0.0 μB per formula unit

***

Record 2
This record from Alexandria describes TbNd2Ho8 after structural relaxation. The functional is PBE.

Lattice parameters (Å, degrees): 5.8883 9.0260 9.1963 60.61 74.52 57.05
Closest atoms and distances in Å follow each position.
Fractional positions:
Ho  0.8268  0.0984  0.2315  4 Ho 3.22-3.60, 2 Nd 3.46-3.48
Ho  0.2963  0.4279  0.0000  4 Ho 2.99-3.29
Ho  0.7037  0.5721  0.0000  4 Ho 2.99-3.29
Ho  0.1732  0.6701  0.2315  4 Ho 3.22-3.60, 2 Nd 3.46-3.48
Ho  0.8268  0.3299  0.7685  4 Ho 3.22-3.60, 2 Nd 3.46-3.48
Ho  0.5000  0.7925  0.4149  1 Tb 3.32, 2 Nd 3.35, 6 Ho 3.60-3.69
Ho  0.1732  0.9016  0.7685  4 Ho 3.22-3.60, 2 Nd 3.46-3.48
Ho  0.5000  0.2075  0.5851  1 Tb 3.32, 2 Nd 3.35, 6 Ho 3.60-3.69
Nd  0.0000  0.6934  0.6132  8 Ho 3.35-3.48
Nd  0.0000  0.3066  0.3868  8 Ho 3.35-3.48
Tb  0.5000  0.0000  0.0000  4 Ho 3.32-3.36

## Properties
DOS(E_F): 14.9 states/eV/f.u.
energy above the most stable polymorph in this dataset: 0.000 eV/atom
volume: 357 Å³ per cell
spin magnetization: 0.0 μB per formula unit

***

Record 3
This record from Alexandria describes Tb7Nd2Ho4 after structural relaxation. The functional is PBE.

Lattice parameters (Å, degrees): 6.0930 6.0930 13.2859 90.00 90.00 120.00
Closest atoms and distances in Å follow each position.
Fractional positions:
Tb  0.0000  0.0000  0.0000  6 Nd 3.52, 6 Tb 3.63
Tb  0.3575  0.3575  0.7811  1 Ho 3.19, 4 Tb 3.40, 2 Nd 3.51
Tb  0.6425  0.6425  0.2189  1 Ho 3.19, 4 Tb 3.40, 2 Nd 3.51
Tb  0.3575  0.0000  0.2189  1 Ho 3.19, 4 Tb 3.40, 2 Nd 3.51
Tb  0.0000  0.3575  0.2189  1 Ho 3.19, 4 Tb 3.40, 2 Nd 3.51
Tb  0.6425  0.0000  0.7811  1 Ho 3.19, 4 Tb 3.40, 2 Nd 3.51
Tb  0.0000  0.6425  0.7811  1 Ho 3.19, 4 Tb 3.40, 2 Nd 3.51
Nd  0.3333  0.6667  0.0000  9 Tb 3.51-3.52, 3 Nd 3.52
Nd  0.6667  0.3333  0.0000  9 Tb 3.51-3.52, 3 Nd 3.52
Ho  0.0000  0.0000  0.3947  1 Ho 2.80
Ho  0.3333  0.6667  0.5000  9 Ho 3.52-3.79
Ho  0.6667  0.3333  0.5000  9 Ho 3.52-3.79
Ho  0.0000  0.0000  0.6053  1 Ho 2.80

## Properties
DOS(E_F): 18.0 states/eV/f.u.
volume: 427 Å³ per cell
E: -57.88 eV per formula unit
spin magnetization: 0.0 μB per formula unit

***

Record 4
This record from Alexandria describes Tb5Nd4Ho3 after structural relaxation. The functional is PBE.

Lattice parameters (Å, degrees): 5.9422 8.6215 9.7175 105.66 72.20 69.84
Closest atoms and distances in Å follow each position.
Fractional positions:
Tb  0.6298  0.9421  0.7983  2 Ho 3.29-3.48, 2 Tb 3.45-3.65
Tb  0.3702  0.0579  0.2017  2 Ho 3.29-3.48, 2 Tb 3.45-3.65
Tb  0.5000  0.5000  0.5000  4 Ho 2.97-3.12
Tb  0.7854  0.5430  0.8862  4 Ho 3.21-3.48, 3 Nd 3.44-3.55
Tb  0.2146  0.4570  0.1138  4 Ho 3.21-3.48, 3 Nd 3.44-3.55
Nd  0.8356  0.9481  0.3806  3 Ho 3.35-3.54, 3 Nd 3.59-3.68, 3 Tb 3.69
Nd  0.1644  0.0519  0.6194  3 Ho 3.35-3.54, 3 Nd 3.59-3.68, 3 Tb 3.69
Nd  0.1391  0.7774  0.9444  2 Nd 3.31-3.68, 1 Ho 3.44, 3 Tb 3.44-3.55
Nd  0.8609  0.2226  0.0556  2 Nd 3.31-3.68, 1 Ho 3.44, 3 Tb 3.44-3.55
Ho  0.0000  0.5000  0.5000  2 Tb 2.97
Ho  0.4775  0.3118  0.7331  5 Tb 3.12-3.48, 2 Nd 3.35-3.44
Ho  0.5225  0.6882  0.2669  5 Tb 3.12-3.48, 2 Nd 3.35-3.44

## Properties
DOS(E_F): 20.1 states/eV/f.u.
volume: 404 Å³ per cell
E: -53.26 eV per formula unit
spin magnetization: 0.4 μB per formula unit

***

Record 5
This record from Alexandria describes Tb5Nd3Ho after structural relaxation. The functional is PBE.

Lattice parameters (Å, degrees): 6.1905 11.0003 11.6193 124.36 90.00 106.34
Closest atoms and distances in Å follow each position.
Fractional positions:
Nd  0.5982  0.6391  0.6719  1 Nd 3.30, 4 Tb 3.42-3.57, 1 Ho 3.48
Nd  0.0000  0.0000  0.5000  2 Ho 2.94, 2 Tb 3.09
Nd  0.0409  0.6391  0.1719  1 Nd 3.30, 4 Tb 3.42-3.57, 1 Ho 3.48
Nd  0.0000  0.0000  0.0000  2 Ho 2.94, 2 Tb 3.09
Nd  0.4018  0.3609  0.3281  1 Nd 3.30, 4 Tb 3.42-3.57, 1 Ho 3.48
Nd  0.9591  0.3609  0.8281  1 Nd 3.30, 4 Tb 3.42-3.57, 1 Ho 3.48
Tb  0.5645  0.0000  0.2500  2 Ho 3.03-3.16
Tb  0.4574  0.2776  0.6322  2 Nd 3.09-3.42
Tb  0.1798  0.7224  0.8678  2 Nd 3.09-3.42
Tb  0.5426  0.7224  0.3678  2 Nd 3.09-3.42
Tb  0.8202  0.2776  0.1322  2 Nd 3.09-3.42
Tb  0.6225  0.6437  0.9785  5 Tb 3.41-3.73, 3 Nd 3.46-3.82, 1 Ho 3.61
Tb  0.3775  0.3563  0.0215  5 Tb 3.41-3.73, 3 Nd 3.46-3.82, 1 Ho 3.61
Tb  0.4355  0.0000  0.7500  2 Ho 3.03-3.16
Tb  0.0212  0.6437  0.4785  5 Tb 3.41-3.73, 3 Nd 3.46-3.82, 1 Ho 3.61
Tb  0.9788  0.3563  0.5215  5 Tb 3.41-3.73, 3 Nd 3.46-3.82, 1 Ho 3.61
Ho  0.0743  0.0000  0.2500  2 Nd 2.94, 2 Tb 3.03-3.16
Ho  0.9257  0.0000  0.7500  2 Nd 2.94, 2 Tb 3.03-3.16

## Properties
DOS(E_F): 11.3 states/eV/f.u.
energy above the most stable polymorph in this dataset: 0.000 eV/atom
volume: 614 Å³ per cell
spin magnetization: 0.0 μB per formula unit

***

Record 6
This record from Alexandria describes Tb5NdHo4 after structural relaxation. The functional is PBE.

Lattice parameters (Å, degrees): 6.2936 7.8640 7.8640 80.79 66.41 66.41
Closest atoms and distances in Å follow each position.
Fractional positions:
Ho  0.1040  0.2994  0.3983  4 Tb 3.21-3.52, 1 Ho 3.24
Ho  0.5023  0.6017  0.2994  4 Tb 3.21-3.52, 1 Ho 3.24
Ho  0.4034  0.3983  0.7006  4 Tb 3.21-3.52, 1 Ho 3.24
Ho  0.8018  0.7006  0.6017  4 Tb 3.21-3.52, 1 Ho 3.24
Tb  0.8036  0.3797  0.9126  4 Ho 3.21-3.52, 1 Nd 3.29, 1 Tb 3.29
Tb  0.0960  0.6203  0.0874  4 Ho 3.21-3.52, 1 Nd 3.29, 1 Tb 3.29
Tb  0.7162  0.0874  0.3797  4 Ho 3.21-3.52, 1 Nd 3.29, 1 Tb 3.29
Tb  0.1834  0.9126  0.6203  4 Ho 3.21-3.52, 1 Nd 3.29, 1 Tb 3.29
Tb  0.6780  0.0000  0.0000  1 Nd 2.87
Nd  0.2215  0.0000  0.0000  1 Tb 2.87

## Properties
DOS(E_F): 14.6 states/eV/f.u.
volume: 327 Å³ per cell
E: -43.23 eV per formula unit
spin magnetization: 0.0 μB per formula unit

***

Look up the DOS(E_F) of the second one.
14.9 states/eV/f.u.

***

Which value of DOS(E_F) does entry 6 give?
14.6 states/eV/f.u.

***

DOS(E_F) of number 2 (TbNd2Ho8)?
14.9 states/eV/f.u.

***

Please write out number 4 again, unchanged.
This record from Alexandria describes Tb5Nd4Ho3 after structural relaxation. The functional is PBE.

Lattice parameters (Å, degrees): 5.9422 8.6215 9.7175 105.66 72.20 69.84
Closest atoms and distances in Å follow each position.
Fractional positions:
Tb  0.6298  0.9421  0.7983  2 Ho 3.29-3.48, 2 Tb 3.45-3.65
Tb  0.3702  0.0579  0.2017  2 Ho 3.29-3.48, 2 Tb 3.45-3.65
Tb  0.5000  0.5000  0.5000  4 Ho 2.97-3.12
Tb  0.7854  0.5430  0.8862  4 Ho 3.21-3.48, 3 Nd 3.44-3.55
Tb  0.2146  0.4570  0.1138  4 Ho 3.21-3.48, 3 Nd 3.44-3.55
Nd  0.8356  0.9481  0.3806  3 Ho 3.35-3.54, 3 Nd 3.59-3.68, 3 Tb 3.69
Nd  0.1644  0.0519  0.6194  3 Ho 3.35-3.54, 3 Nd 3.59-3.68, 3 Tb 3.69
Nd  0.1391  0.7774  0.9444  2 Nd 3.31-3.68, 1 Ho 3.44, 3 Tb 3.44-3.55
Nd  0.8609  0.2226  0.0556  2 Nd 3.31-3.68, 1 Ho 3.44, 3 Tb 3.44-3.55
Ho  0.0000  0.5000  0.5000  2 Tb 2.97
Ho  0.4775  0.3118  0.7331  5 Tb 3.12-3.48, 2 Nd 3.35-3.44
Ho  0.5225  0.6882  0.2669  5 Tb 3.12-3.48, 2 Nd 3.35-3.44

## Properties
DOS(E_F): 20.1 states/eV/f.u.
volume: 404 Å³ per cell
E: -53.26 eV per formula unit
spin magnetization: 0.4 μB per formula unit